KYW2Au: optimized geometry, GGA-PBE.

Results
Its density of states at the Fermi level is 6.2 states/eV/f.u. The value obtained for the total DFT energy (no corrections) is -5.540 eV/atom.

Unit cell a=4.9962 b=4.9962 c=5.4510 alpha=90.00 beta=90.00 gamma=90.00
With the nearest neighbours (Å) after each atom.
Space group P4/mmm (No. 123)
Symmetry-distinct sites (fractional):
K: 0.0000 0.0000 0.0000 x1  2 Au 2.73
Y: 0.5000 0.5000 0.0000 x1  4 K 3.53, 8 W 3.70
W: 0.0000 0.5000 0.5000 x2  2 Au 2.50
Au: 0.0000 0.0000 0.5000 x1  4 W 2.50, 2 K 2.73



Pr2NiGe6: optimized geometry, GGA-PBE.

Results
Its density of states at the Fermi level is 4.4 states/eV/f.u. The value obtained for the total DFT energy (no corrections) is -5.306 eV/atom.

Unit cell a=4.1733 b=4.0918 c=22.0315 alpha=90.00 beta=90.00 gamma=90.00
With the nearest neighbours (Å) after each atom.
Space group Amm2 (No. 38)
Symmetry-distinct sites (fractional):
Pr: 0.0000 0.0000 0.0000 x2  10 Ge 3.11-3.35, 4 Ni 3.20
Pr: 0.0000 0.0000 0.3345 x2  10 Ge 3.10-3.32
Ni: 0.5000 0.0000 0.5593 x2  5 Ge 2.37-2.40
Ge: 0.0000 0.0000 0.6132 x2  2 Ni 2.40, 1 Ge 2.51
Ge: 0.0000 0.0000 0.7271 x2  1 Ge 2.51
Ge: 0.5000 0.0000 0.1140 x2  2 Ni 2.37, 1 Ge 2.52
Ge: 0.5000 0.0000 0.2284 x2  1 Ge 2.52
Ge: 0.5000 0.0000 0.4518 x2  1 Ni 2.37, 2 Ge 2.57
Ge: 0.5000 0.0000 0.8811 x2  2 Ge 2.57



PmHg5: optimized geometry, GGA-PBE.

Results
Its density of states at the Fermi level is 3.0 states/eV/f.u. The value obtained for the total DFT energy (no corrections) is -1.293 eV/atom.

Unit cell a=4.5324 b=13.6660 c=4.9106 alpha=90.00 beta=90.00 gamma=90.00
With the nearest neighbours (Å) after each atom.
Space group Cmmm (No. 65)
Symmetry-distinct sites (fractional):
Pm: 0.0000 0.0000 0.0000 x2  12 Hg 3.24-3.34
Hg: 0.0000 0.1647 0.5000 x4  10 Hg 3.19-3.34, 2 Pm 3.33
Hg: 0.0000 0.3301 0.0000 x4  10 Hg 3.15-3.38, 2 Pm 3.24
Hg: 0.0000 0.5000 0.5000 x2  8 Hg 3.19-3.38, 4 Pm 3.34



Pm12HgIr6: optimized geometry, GGA-PBE.

Results
Its density of states at the Fermi level is 15.9 states/eV/f.u. The value obtained for the total DFT energy (no corrections) is -6.311 eV/atom.

Unit cell a=10.1968 b=10.1968 c=10.1968 alpha=90.00 beta=90.00 gamma=90.00
With the nearest neighbours (Å) after each atom.
Space group Im-3 (No. 204)
Symmetry-distinct sites (fractional):
Pm: 0.0000 0.1914 0.3023 x24  3 Ir 2.75-3.08
Hg: 0.0000 0.0000 0.0000 x2  12 Pm 3.65
Ir: 0.0000 0.3753 0.5000 x12  1 Ir 2.54, 2 Pm 2.75



BaZrBeGa2: optimized geometry, GGA-PBE.

Results
Its density of states at the Fermi level is 4.9 states/eV/f.u. The value obtained for the total DFT energy (no corrections) is -3.486 eV/atom.

Unit cell a=4.6013 b=4.6013 c=5.3946 alpha=90.00 beta=90.00 gamma=90.00
With the nearest neighbours (Å) after each atom.
Space group P4/mmm (No. 123)
Symmetry-distinct sites (fractional):
Ba: 0.0000 0.0000 0.0000 x1  2 Be 2.70
Zr: 0.5000 0.5000 0.0000 x1  4 Ba 3.25, 8 Ga 3.55
Be: 0.0000 0.0000 0.5000 x1  4 Ga 2.30
Ga: 0.0000 0.5000 0.5000 x2  2 Be 2.30



Gd3Er: optimized geometry, GGA-PBE.

Results
Its density of states at the Fermi level is 8.1 states/eV/f.u. The calculation puts the energy above the most stable polymorph in this dataset at 0.0 kJ per mole of atoms.

Unit cell a=5.0343 b=5.0343 c=5.0343 alpha=90.00 beta=90.00 gamma=90.00
With the nearest neighbours (Å) after each atom.
Space group Pm-3m (No. 221)
Symmetry-distinct sites (fractional):
Gd: 0.0000 0.0000 0.5000 x3  8 Gd 3.56, 4 Er 3.56
Er: 0.5000 0.5000 0.5000 x1  12 Gd 3.56



MnFe3Tc: optimized geometry, GGA-PBE.

Results
Its density of states at the Fermi level is 12.2 states/eV/f.u. The calculation puts the energy above the most stable polymorph in this dataset at 87.3 kJ per mole of atoms.

Unit cell a=4.4051 b=4.4051 c=4.4051 alpha=90.00 beta=90.00 gamma=90.00
With the nearest neighbours (Å) after each atom.
Space group Pm-3m (No. 221)
Symmetry-distinct sites (fractional):
Mn: 0.0000 0.0000 0.0000 x1  12 Fe 3.11
Fe: 0.0000 0.5000 0.5000 x3  2 Tc 2.20
Tc: 0.5000 0.5000 0.5000 x1  6 Fe 2.20



Ac3Ce2Ru3: optimized geometry, GGA-PBE.

Results
Its density of states at the Fermi level is 8.3 states/eV/f.u. The value obtained for the total DFT energy (no corrections) is -6.759 eV/atom.

Unit cell a=7.9400 b=16.7026 c=7.1372 alpha=90.00 beta=90.00 gamma=90.00
With the nearest neighbours (Å) after each atom.
Space group Pnma (No. 62)
Symmetry-distinct sites (fractional):
Ac: 0.0590 0.2500 0.1564 x4  4 Ru 2.94-3.24
Ac: 0.0620 0.6365 0.3103 x8  4 Ru 3.20-3.36
Ce: 0.2157 0.5659 0.8322 x8  1 Ru 2.34
Ru: 0.1171 0.0622 0.0625 x8  1 Ce 2.34
Ru: 0.2297 0.2500 0.5310 x4  6 Ac 2.94-3.21